No. 1
Here is a relaxed structure of Ba3HRu from Alexandria via LeMat-Bulk. Energies are from PBE.

SG = No. 221

Cell lengths 5.3064, 5.3064, 5.3064 Å; angles 90.00, 90.00, 90.00 degrees
Positions (direct):
1 Ba 0.0000 0.0000 0.5000
2 Ba 0.0000 0.5000 0.0000
3 Ba 0.5000 0.0000 0.0000
4 H 0.0000 0.0000 0.0000
5 Ru 0.5000 0.5000 0.5000

---

No. 2
Here is a relaxed structure of Ba2H4Ru from Alexandria via LeMat-Bulk. Energies are from PBE.

SG = No. 139

Cell lengths 8.9511, 8.9511, 8.9511 Å; angles 154.90, 154.90, 35.80 degrees
Positions (direct):
1 Ba 0.1168 0.1168 0.0000
2 Ba 0.8832 0.8832 0.0000
3 H 0.0000 0.5000 0.5000
4 H 0.3974 0.3974 0.0000
5 H 0.5000 0.0000 0.5000
6 H 0.6026 0.6026 0.0000
7 Ru 0.5000 0.5000 0.0000

---

No. 3
Here is a relaxed structure of Ba6HRu from Alexandria via LeMat-Bulk. Energies are from PBE.

SG = No. 2

Cell lengths 7.6148, 7.6203, 8.4606 Å; angles 63.28, 63.26, 60.05 degrees
Positions (direct):
1 Ba 0.0974 0.4003 0.2538
2 Ba 0.2507 0.9034 0.7466
3 Ba 0.4012 0.7486 0.2540
4 Ba 0.5988 0.2514 0.7460
5 Ba 0.7493 0.0966 0.2534
6 Ba 0.9026 0.5997 0.7462
7 H 0.5000 0.5000 0.0000
8 Ru 0.0000 0.0000 0.5000

---

No. 4
Here is a relaxed structure of BaHRu3 from Alexandria via LeMat-Bulk. Energies are from PBE.

SG = No. 221

Cell lengths 5.1691, 5.1691, 5.1691 Å; angles 90.00, 90.00, 90.00 degrees
Positions (direct):
1 Ba 0.0000 0.0000 0.0000
2 H 0.5000 0.5000 0.5000
3 Ru 0.0000 0.0000 0.5000
4 Ru 0.0000 0.5000 0.0000
5 Ru 0.5000 0.0000 0.0000

---

No. 5
Here is a relaxed structure of BaH4Ru from Alexandria via LeMat-Bulk. Energies are from PBE.

SG = No. 123

Cell lengths 3.5953, 3.5953, 5.1597 Å; angles 90.00, 90.00, 90.00 degrees
Positions (direct):
1 Ba 0.0000 0.0000 0.0000
2 H 0.0000 0.5000 0.5000
3 H 0.5000 0.0000 0.5000
4 H 0.5000 0.5000 0.1731
5 H 0.5000 0.5000 0.8269
6 Ru 0.5000 0.5000 0.5000

---

No. 6
Here is a relaxed structure of Ba2SrH8Ru from Alexandria via LeMat-Bulk. Energies are from PBE.

SG = No. 164

Cell lengths 5.5305, 5.5305, 6.7728 Å; angles 90.00, 90.00, 120.00 degrees
Positions (direct):
1 Ba 0.3333 0.6667 0.3359
2 Ba 0.6667 0.3333 0.6641
3 Sr 0.0000 0.0000 0.0000
4 H 0.1440 0.2880 0.6531
5 H 0.1440 0.8560 0.6531
6 H 0.2880 0.1440 0.3469
7 H 0.3333 0.6667 0.9584
8 H 0.6667 0.3333 0.0416
9 H 0.7120 0.8560 0.6531
10 H 0.8560 0.1440 0.3469
11 H 0.8560 0.7120 0.3469
12 Ru 0.0000 0.0000 0.5000

---

Number 1: total energy -3.335 eV/atom. Number 2: total energy -4.154 eV/atom. Number 3: total energy -3.005 eV/atom. Number 4: total energy -3.472 eV/atom. Number 5: total energy -4.367 eV/atom. Number 6: total energy -3.895 eV/atom.